Density functional theory data (PBE+U) for a geometry-optimized PaFeAg2O6 structure.

Structure (POSCAR):
```
PaFeAg2O6
1.0
-1.1605 2.4258 -4.9294
-0.5178 -3.1441 -4.6231
-5.2791 -0.7361 -2.3174
O Fe Ag Pa
6 1 2 1
Direct
0.1815 0.9701 0.2942 O
0.5540 0.1814 0.2944 O
0.0783 0.4509 0.8087 O
0.6622 0.0784 0.8086 O
0.9701 0.5539 0.2945 O
0.4508 0.6622 0.8089 O
0.3162 0.3162 0.0516 Fe
0.0679 0.0679 0.7962 Ag
0.5644 0.5645 0.3066 Ag
0.8162 0.8161 0.5515 Pa
```

Values from the calculation:
The calculation puts the theoretical density at 7.55 g/cm3. As for the space-group type: R-3. The total energy comes out at -6.550 eV per atom. The total magnetization is 0.395 μB per atom.